The following is a DFT calculation (GGA-PBE) of an optimized crystal structure of PmTm4Sc3.

Geometry as POSCAR:
```
PmTm4Sc3
1.0
-1.654 5.579 6.220
1.654 -5.579 6.220
1.654 5.579 -6.220
Pm Tm Sc
1 4 3
Cartesian
0.000 0.000 0.000 Pm
1.654 -2.747 4.562 Tm
0.000 2.832 1.658 Tm
1.654 2.747 4.562 Tm
0.000 8.326 1.658 Tm
1.654 0.000 3.028 Sc
0.000 0.000 6.220 Sc
0.000 5.579 3.192 Sc
```

Summary:
The density of states at the Fermi level is 17.1 states/eV per cell. The raw total energy comes out at -5.025 eV/atom. The value obtained for the volume is 28.7 Å³/atom.